[1]
Compound: LiGa6Co5
Source: Alexandria
Functional: PBE
Structure: optimized geometry

Cell and atoms, written as extended XYZ:
```
12
Lattice="2.061 -6.199 0.000 2.061 6.199 0.000 0.000 0.000 5.724" Properties=species:S:1:pos:R:3 pbc="T T T"
Li 0.000 0.000 0.000
Ga 2.061 4.099 1.446
Ga 2.061 4.099 4.278
Ga 2.061 0.000 1.437
Ga 2.061 0.000 4.287
Ga 2.061 -4.099 1.446
Ga 2.061 -4.099 4.278
Co 0.000 0.000 2.862
Co 2.061 2.054 0.000
Co 2.061 2.024 2.862
Co 2.061 -2.024 2.862
Co 2.061 -2.054 0.000
```

energy of formation from the pure elements: -6.33 kcal/mol of atoms
crystal system: orthorhombic

[2]
Compound: PuHf3Zr
Source: Alexandria
Functional: PBE
Structure: optimized geometry

Cell and atoms, written as extended XYZ:
```
10
Lattice="5.504 0.000 0.000 1.798 6.125 0.000 1.784 1.131 6.771" Properties=species:S:1:pos:R:3 pbc="T T T"
Pu 1.346 1.271 2.032
Pu 7.740 5.985 4.739
Hf 2.239 4.302 1.995
Hf 4.947 6.835 6.112
Hf 4.099 3.765 6.092
Hf 4.987 3.491 0.679
Hf 4.139 0.420 0.659
Hf 6.847 2.954 4.777
Zr 4.077 2.125 3.416
Zr 5.009 5.131 3.355
```

energy of formation from the pure elements: 1.45 kcal/mol of atoms
crystal system: triclinic
energy above the lowest structure with this stoichiometry: 0.0 meV per atom

[3]
Compound: Nb4Ga5Os
Source: Alexandria
Functional: PBE
Structure: optimized geometry

Cell and atoms, written as extended XYZ:
```
10
Lattice="-4.021 4.021 2.690 4.021 -4.021 2.690 4.021 4.021 -2.690" Properties=species:S:1:pos:R:3 pbc="T T T"
Nb 5.691 0.597 0.000
Nb 0.597 2.350 0.000
Nb 3.424 1.671 2.690
Nb -1.671 3.424 2.690
Ga 3.297 1.892 -0.020
Ga 2.128 -0.723 2.670
Ga 1.892 4.744 -0.020
Ga 0.000 0.000 3.992
Ga 0.723 2.128 2.670
Os 0.000 0.000 1.241
```

energy of formation from the pure elements: 0.89 kcal/mol of atoms
crystal system: tetragonal

[4]
Compound: Y3ThTe6
Source: Alexandria
Functional: PBE
Structure: optimized geometry

Cell and atoms, written as extended XYZ:
```
20
Lattice="12.488 0.000 0.000 0.000 4.341 0.000 -4.116 0.000 12.167" Properties=species:S:1:pos:R:3 pbc="T T T"
Y 0.209 1.085 1.985
Y 0.183 3.255 6.105
Y 0.519 1.085 11.221
Y 7.854 3.255 0.947
Y 8.190 1.085 6.062
Y 8.163 3.255 10.183
Th 4.427 1.085 3.662
Th 3.946 3.255 8.506
Te -1.366 1.085 4.618
Te -2.508 1.085 11.393
Te 1.928 3.255 3.399
Te 0.753 3.255 9.104
Te 2.627 1.085 6.467
Te 4.778 3.255 1.208
Te 3.595 1.085 10.960
Te 5.746 3.255 5.700
Te 7.619 1.085 3.064
Te 6.445 1.085 8.769
Te 10.881 3.255 0.775
Te 9.739 3.255 7.549
```

crystal system: monoclinic
E_form (uncorrected): -1.349 eV per atom

Record order is preserved below.
Calculated total energy: -58.9; -52.4; -66.3; -59.2 eV/f.u.